Zn2CuTe | GGA-PBE | optimized geometry

Cell and atoms, written as POSCAR:
```
Zn2CuTe
1.0
-2.1811 2.1811 8.5377
2.1811 -2.1811 8.5377
2.1811 2.1811 -8.5377
Zn Cu Te
4 2 2
direct
0.0278 0.6250 0.9028 Zn
0.3750 0.2778 0.4028 Zn
0.7222 0.1250 0.0972 Zn
0.8750 0.9722 0.5972 Zn
0.0000 0.0000 0.0000 Cu
0.7500 0.2500 0.5000 Cu
0.2500 0.7500 0.5000 Te
0.5000 0.5000 0.0000 Te
```

Summary:
- size of the total moment (μB/cell) = 0.00
- symmetry = I-42d, No. 122
- excess energy over the best structure of this formula in the dataset (eV per atom) = 0.042
- E (eV per atom) = -2.3850
- ΔE_f (raw) (eV/atom) = 0.061